! Cr3HgO SCAN PBEsol geometry; values from VASP
! crystal system = cubic
&SYSTEM
  ibrav = 0, nat = 5, ntyp = 3
/
ATOMIC_SPECIES
Cr 52.00 Cr.upf
Hg 200.59 Hg.upf
O 16.00 O.upf
CELL_PARAMETERS angstrom
5.036 0.000 0.000
0.000 5.036 0.000
0.000 0.000 5.036
ATOMIC_POSITIONS crystal
Cr 0.000 0.000 0.500
Cr 0.000 0.500 0.000
Cr 0.500 0.000 0.000
Hg 0.000 0.000 0.000
O 0.500 0.500 0.500

***

! Li3TaSe SCAN PBEsol geometry; values from VASP
! crystal system = cubic
&SYSTEM
  ibrav = 0, nat = 5, ntyp = 3
/
ATOMIC_SPECIES
Li 6.94 Li.upf
Ta 180.95 Ta.upf
Se 78.96 Se.upf
CELL_PARAMETERS angstrom
4.705 0.000 0.000
0.000 4.705 0.000
0.000 0.000 4.705
ATOMIC_POSITIONS crystal
Li 0.000 0.000 0.500
Li 0.000 0.500 0.000
Li 0.500 0.000 0.000
Ta 0.500 0.500 0.500
Se 0.000 0.000 0.000

***

! CdCoCl2 SCAN PBEsol geometry; values from VASP
! distance to the lowest polymorph of the same formula = 693 meV/atom
! crystal system = cubic
&SYSTEM
  ibrav = 0, nat = 4, ntyp = 3
/
ATOMIC_SPECIES
Cd 112.41 Cd.upf
Co 58.93 Co.upf
Cl 35.45 Cl.upf
CELL_PARAMETERS angstrom
0.000 3.265 3.265
3.265 0.000 3.265
3.265 3.265 0.000
ATOMIC_POSITIONS crystal
Cd 0.000 0.000 0.000
Co 0.500 0.500 0.500
Cl 0.250 0.250 0.250
Cl 0.750 0.750 0.750

***

! Cs2ZrCu3F12 SCAN PBEsol geometry; values from VASP
! distance to the lowest polymorph of the same formula = 0 meV/atom
! crystal system = monoclinic
&SYSTEM
  ibrav = 0, nat = 36, ntyp = 4
/
ATOMIC_SPECIES
Cs 132.91 Cs.upf
Zr 91.22 Zr.upf
Cu 63.55 Cu.upf
F 19.00 F.upf
CELL_PARAMETERS angstrom
7.708 0.000 0.000
0.000 7.064 0.000
-0.740 0.000 10.187
ATOMIC_POSITIONS crystal
Cs 0.015 0.250 0.147
Cs 0.445 0.750 0.625
Cs 0.555 0.250 0.375
Cs 0.985 0.750 0.853
Zr 0.298 0.750 0.243
Zr 0.702 0.250 0.757
Cu 0.000 0.000 0.500
Cu 0.000 0.500 0.500
Cu 0.217 0.250 0.773
Cu 0.500 0.000 0.000
Cu 0.500 0.500 0.000
Cu 0.783 0.750 0.227
F 0.020 0.250 0.437
F 0.061 0.750 0.147
F 0.141 0.047 0.659
F 0.141 0.453 0.659
F 0.232 0.572 0.389
F 0.232 0.928 0.389
F 0.290 0.054 0.896
F 0.290 0.446 0.896
F 0.348 0.021 0.176
F 0.348 0.479 0.176
F 0.402 0.750 0.040
F 0.460 0.250 0.669
F 0.540 0.750 0.331
F 0.598 0.250 0.960
F 0.652 0.521 0.824
F 0.652 0.979 0.824
F 0.710 0.554 0.104
F 0.710 0.946 0.104
F 0.768 0.072 0.611
F 0.768 0.428 0.611
F 0.859 0.547 0.341
F 0.859 0.953 0.341
F 0.939 0.250 0.853
F 0.980 0.750 0.563

***

| no. | formation energy (no corrections) (eV per atom) |
| --- | --- |
| 1 | 1.452 |
| 2 | 0.487 |
| 3 | 0.189 |
| 4 | -2.739 |